Material: PrDy3Ho2As6
Method: DFT, PBE-GGA
State: relaxed

Its formation energy is -18.2 eV/f.u. The value obtained for the total energy is -6.15 eV/atom. The calculated density comes out at 7.73 g/cm³. The density of states at the Fermi level is 1.80 states/eV/cell.

The structure in POSCAR format:
```
PrDy3Ho2As6
1.0
-6.5082 2.8780 -0.9574
0.9186 -5.2934 4.7636
3.1733 5.3726 3.5543
Pr Dy Ho As
1 3 2 6
Cartesian
0.0000 0.0000 0.0000
1.2797 -1.2586 5.5967
-3.6959 4.2158 1.7638
-1.2081 1.4786 3.6802
-1.5534 -2.5736 2.8594
-4.0362 0.1582 0.9468
-3.0603 3.6004 4.5177
-3.3573 -0.4413 3.7279
0.6441 -0.6432 2.8427
-0.5342 0.8211 6.4637
0.9410 3.3986 3.6326
-1.8821 2.1362 0.8968
```

Material: DyHoPu2As4
Method: DFT, PBE-GGA
State: relaxed

Its formation energy is -10.2 eV/f.u. The value obtained for the total energy is -8.33 eV/atom. The calculated density comes out at 9.36 g/cm³. The density of states at the Fermi level is 21.21 states/eV/cell.

The structure in POSCAR format:
```
DyHoPu2As4
1.0
4.1305 0.0000 0.0000
0.0000 7.1503 0.1231
0.0000 -2.4997 6.6540
Dy Ho Pu As
1 1 2 4
Cartesian
0.0000 0.0000 0.0000
2.0653 3.5752 0.0615
2.0653 -1.2498 3.3270
0.0000 2.3253 3.3886
2.0653 1.1669 1.7072
2.0653 3.4837 5.0699
0.0000 -0.0830 5.0115
0.0000 4.7337 1.7656
```

Material: DyHo2PuAs4
Method: DFT, PBE-GGA
State: relaxed

Its formation energy is -11.2 eV/f.u. The value obtained for the total energy is -7.23 eV/atom. The calculated density comes out at 8.75 g/cm³. The density of states at the Fermi level is 13.11 states/eV/cell.

The structure in POSCAR format:
```
DyHo2PuAs4
1.0
-2.3430 0.1068 -3.3872
4.3394 -4.6771 -3.1491
-2.2571 -6.6123 1.3528
Dy Ho Pu As
1 2 1 4
Cartesian
-1.2589 -8.8975 -1.9154
-2.2571 -6.6123 1.3528
-2.3000 -3.2528 -1.0172
1.0411 -5.6447 -0.8982
1.5668 -8.4641 -1.3507
-1.8274 -2.7186 -3.8329
1.5179 -5.1126 -3.7168
-1.7786 -6.0701 -1.4667
```

Material: DyHoSbAs
Method: DFT, PBE-GGA
State: relaxed

The value obtained for the total energy is -5.76 eV/atom. For the uncorrected formation energy, the calculation gives -1.272 eV/atom. The calculated density comes out at 8.01 g/cm³. The density of states at the Fermi level is 0.50 states/eV/cell.

The structure in POSCAR format:
```
DyHoSbAs
1.0
4.2511 0.0000 0.0000
0.0000 4.2441 0.2537
0.0000 -0.3574 6.0007
Dy Ho Sb As
1 1 1 1
Cartesian
2.1256 1.4499 3.6550
0.0000 3.7509 0.7804
0.0000 3.5721 3.7805
2.1256 1.6280 0.6546
```

Copy entry 4 word for word.
Material: DyHoSbAs
Method: DFT, PBE-GGA
State: relaxed

The value obtained for the total energy is -5.76 eV/atom. For the uncorrected formation energy, the calculation gives -1.272 eV/atom. The calculated density comes out at 8.01 g/cm³. The density of states at the Fermi level is 0.50 states/eV/cell.

The structure in POSCAR format:
```
DyHoSbAs
1.0
4.2511 0.0000 0.0000
0.0000 4.2441 0.2537
0.0000 -0.3574 6.0007
Dy Ho Sb As
1 1 1 1
Cartesian
2.1256 1.4499 3.6550
0.0000 3.7509 0.7804
0.0000 3.5721 3.7805
2.1256 1.6280 0.6546
```

Question: Among the records above, which one has the lowest calculated density?
Answer: PrDy3Ho2As6

Question: The highest calculated density belongs to which entry?
Answer: DyHoPu2As4